Record 1
Here is Tl2NiPtCl after structural relaxation from Alexandria via LeMat-Bulk. Energies are from PBE-GGA.

```
data_Tl2NiPtCl
_cell_length_a 5.3170
_cell_length_b 5.3170
_cell_length_c 4.1592
_cell_angle_alpha 90.00
_cell_angle_beta 90.00
_cell_angle_gamma 90.00
_space_group_name_H-M_alt 'P 4/m m m'
_space_group_IT_number 123
_space_group_name_Hall '-P 4 2'
loop_
_atom_site_label
_atom_site_type_symbol
_atom_site_fract_x
_atom_site_fract_y
_atom_site_fract_z
Tl1 Tl 0.0000 0.5000 0.0000
Ni1 Ni 0.0000 0.0000 0.0000
Pt1 Pt 0.5000 0.5000 0.5000
Cl1 Cl 0.0000 0.0000 0.5000
```

Values from the calculation:
Density in g/cm3: 9.86
Size of the total moment in μB per cell: 0.000
Energy relative to the elements, uncorrected in eV per atom: 0.28

=====

Record 2
Here is LiFeIr6 after structural relaxation from Alexandria via LeMat-Bulk. Energies are from PBE-GGA.

```
data_LiFeIr6
_cell_length_a 5.5899
_cell_length_b 9.0948
_cell_length_c 5.1820
_cell_angle_alpha 90.00
_cell_angle_beta 117.61
_cell_angle_gamma 90.00
_space_group_name_H-M_alt 'C 1 2/m 1'
_space_group_IT_number 12
loop_
_space_group_symop_operation_xyz
'x,y,z'
'-x,-y,-z'
'-x,y,-z'
'x,-y,z'
'x+1/2,y+1/2,z'
'-x+1/2,-y+1/2,-z'
'-x+1/2,y+1/2,-z'
'x+1/2,-y+1/2,z'
loop_
_atom_site_label
_atom_site_type_symbol
_atom_site_fract_x
_atom_site_fract_y
_atom_site_fract_z
Li1 Li 0.0000 0.0000 0.0000
Fe1 Fe 0.0000 0.0000 0.5000
Ir1 Ir 0.0441 0.5000 0.7571
Ir2 Ir 0.2480 0.2761 0.2441
```

Values from the calculation:
Density in g/cm3: 17.30
Size of the total moment in μB per cell: 7.128
Energy relative to the elements in meV per atom: 282